Compound: NaCoN2O
Source: Alexandria via LeMat-Bulk
Functional: GGA+U
Structure: relaxed

a b c (Å): 3.579 3.579 4.195
angles (deg): 90.00 90.00 90.00
Fractional positions:
Na (0.000, 0.000, 0.000)
Co (0.500, 0.500, 0.500)
N (0.000, 0.500, 0.500)
N (0.500, 0.000, 0.500)
O (0.500, 0.500, 0.000)

Values from the calculation:
Total moment ... 0.49 Bohr magnetons per cell
Space-group type ... P4/mmm (123)
Crystal system ... tetragonal
V ... 54 Å³ per cell
Total DFT energy (no corrections) ... -24.511 eV/cell

=====

Compound: NaCoN2O
Source: Alexandria via LeMat-Bulk
Functional: GGA+U
Structure: relaxed

a b c (Å): 4.127 4.127 4.076
angles (deg): 90.00 90.00 90.00
Fractional positions:
Na (0.000, 0.000, 0.000)
Co (0.500, 0.500, 0.500)
N (0.000, 0.500, 0.000)
N (0.500, 0.000, 0.000)
O (0.000, 0.000, 0.500)

Values from the calculation:
Total moment ... 1.03 Bohr magnetons per cell
Space-group type ... P4/mmm (123)
Crystal system ... tetragonal
V ... 69 Å³ per cell
Total DFT energy (no corrections) ... -16.260 eV/cell

=====

Compound: NaCoNO2
Source: Alexandria via LeMat-Bulk
Functional: GGA+U
Structure: relaxed

a b c (Å): 3.888 3.888 3.514
angles (deg): 90.00 90.00 90.00
Fractional positions:
Na (0.000, 0.000, 0.000)
Co (0.500, 0.500, 0.500)
N (0.500, 0.500, 0.000)
O (0.000, 0.500, 0.500)
O (0.500, 0.000, 0.500)

Values from the calculation:
Total moment ... 1.83 Bohr magnetons per cell
Space-group type ... P4/mmm (123)
Crystal system ... tetragonal
V ... 53 Å³ per cell
Total DFT energy (no corrections) ... -24.500 eV/cell

=====

Compound: NaCoNO2
Source: Alexandria via LeMat-Bulk
Functional: GGA+U
Structure: relaxed

a b c (Å): 4.101 4.101 4.116
angles (deg): 90.00 90.00 90.00
Fractional positions:
Na (0.000, 0.000, 0.000)
Co (0.500, 0.500, 0.500)
N (0.000, 0.000, 0.500)
O (0.000, 0.500, 0.000)
O (0.500, 0.000, 0.000)

Values from the calculation:
Total moment ... 7.00 Bohr magnetons per cell
Space-group type ... P4/mmm (123)
Crystal system ... tetragonal
V ... 69 Å³ per cell
Total DFT energy (no corrections) ... -17.873 eV/cell

=====

Among the records above, which one has the lowest total moment?
number 1

=====

The highest total moment belongs to which entry?
number 4

=====

Look up the total DFT energy (no corrections) of the fourth one.
-17.873 eV/cell

=====

total DFT energy (no corrections) of number 3 (NaCoNO2)?
-24.500 eV/cell